Record 1
A plane-wave DFT calculation with GGA-PBE was carried out for an optimized crystal structure of TaH2Ru.

The energy above the most stable polymorph in this dataset is 0.207 eV per atom. Its crystal system is trigonal. The total magnetization is 0.00 Bohr magnetons per cell.

It has space group R-3m (No. 166, hexagonal axes), with a = 2.9685 Å, b = 2.9685 Å, c = 15.0881 Å, α = 90.00°, β = 90.00° and γ = 120.00°. The inequivalent atoms are Ta at (0.0000, 0.0000, 0.0000), H at (0.0000, 0.0000, 0.1272) and Ru at (0.0000, 0.0000, 0.5000).

=====

Record 2
A plane-wave DFT calculation with GGA-PBE was carried out for an optimized crystal structure of TaHRu3.

The energy above the most stable polymorph in this dataset is 1.535 eV per atom. Its crystal system is tetragonal. The total magnetization is 0.00 Bohr magnetons per cell.

It has space group I-4m2 (No. 119), with a = 4.5557 Å, b = 4.5557 Å, c = 18.3305 Å, α = 90.00°, β = 90.00° and γ = 90.00°. The inequivalent atoms are Ta at (0.0000, 0.0000, 0.0000), Ta at (0.0000, 0.5000, 0.2500), H at (0.0000, 0.5000, 0.6416), Ru at (0.0000, 0.0000, 0.3409) and Ru at (0.0000, 0.2436, 0.1218).

=====

Record 3
A plane-wave DFT calculation with GGA-PBE was carried out for an optimized crystal structure of TaHRu3.

The energy above the most stable polymorph in this dataset is 0.040 eV per atom. Its crystal system is monoclinic. The total magnetization is 0.00 Bohr magnetons per cell.

It has space group Cm (No. 8), with a = 8.9818 Å, b = 5.6412 Å, c = 4.8583 Å, α = 90.00°, β = 90.46° and γ = 90.00°. The inequivalent atoms are Ta at (0.0000, 0.0000, 0.0000), Ta at (0.2354, 0.5000, 0.3482), H at (0.1101, 0.0000, 0.6265), H at (0.3787, 0.0000, 0.6654), Ru at (0.2476, 0.0000, 0.3232), Ru at (0.2479, 0.2516, 0.8503), Ru at (0.4928, 0.2477, 0.4870) and Ru at (0.4963, 0.0000, 0.0078).

=====

Record 4
A plane-wave DFT calculation with GGA-PBE was carried out for an optimized crystal structure of TaHRu3.

The energy above the most stable polymorph in this dataset is 0.042 eV per atom. Its crystal system is triclinic. The total magnetization is 0.00 Bohr magnetons per cell.

It has space group P1 (No. 1), with a = 4.8403 Å, b = 5.3071 Å, c = 5.3076 Å, α = 64.43°, β = 89.37° and γ = 89.43°. The inequivalent atoms are Ta at (0.0000, 0.0000, 0.0000), Ta at (0.3526, 0.2651, 0.2736), H at (0.1681, 0.8614, 0.4017), H at (0.6393, 0.8769, 0.8849), Ru at (0.9997, 0.4922, 0.5158), Ru at (0.3324, 0.7394, 0.7696), Ru at (0.4922, 0.2553, 0.7641), Ru at (0.4959, 0.7436, 0.2706), Ru at (0.8447, 0.9969, 0.5148) and Ru at (0.8465, 0.4952, 0.0107).

=====

Record 5
A plane-wave DFT calculation with GGA-PBE was carried out for an optimized crystal structure of Ta2H3Ru2.

Its crystal system is monoclinic. The total magnetization is 0.00 Bohr magnetons per cell. As for the total energy: -53.0 eV per cell.

It has space group P2/m (No. 10), with a = 4.7877 Å, b = 2.9738 Å, c = 5.0646 Å, α = 90.00°, β = 92.56° and γ = 90.00°. The inequivalent atoms are Ta at (0.2456, 0.0000, 0.3310), H at (0.0000, 0.5000, 0.5000), H at (0.3957, 0.5000, 0.1479) and Ru at (0.2307, 0.5000, 0.8103).

=====

Record 6
A plane-wave DFT calculation with GGA-PBE was carried out for an optimized crystal structure of TaHRu3.

The energy above the most stable polymorph in this dataset is 0.343 eV per atom. Its crystal system is monoclinic. The total magnetization is 0.00 Bohr magnetons per cell.

It has space group C2/m (No. 12), with a = 13.5824 Å, b = 3.9083 Å, c = 5.5986 Å, α = 90.00°, β = 113.75° and γ = 90.00°. The inequivalent atoms are Ta at (0.1683, 0.0000, 0.2862), H at (0.1982, 0.5000, 0.8283), Ru at (0.0830, 0.5000, 0.9552), Ru at (0.0886, 0.5000, 0.4633) and Ru at (0.1949, 0.0000, 0.8044).

=====

Record 7
A plane-wave DFT calculation with GGA-PBE was carried out for an optimized crystal structure of TaHRu3.

The energy above the most stable polymorph in this dataset is 0.557 eV per atom. Its crystal system is hexagonal. The total magnetization is 0.00 Bohr magnetons per cell.

It has space group P6_3/mmc (No. 194), with a = 4.3857 Å, b = 4.3857 Å, c = 7.8622 Å, α = 90.00°, β = 90.00° and γ = 120.00°. The inequivalent atoms are Ta at (0.3333, 0.6667, 0.2500), H at (0.0000, 0.0000, 0.0000), Ru at (0.0000, 0.0000, 0.2500) and Ru at (0.3333, 0.6667, 0.5792).

=====

Record 8
A plane-wave DFT calculation with GGA-PBE was carried out for an optimized crystal structure of TaHRu2.

The energy above the most stable polymorph in this dataset is 0.011 eV per atom. Its crystal system is tetragonal. The total magnetization is 0.00 Bohr magnetons per cell.

It has space group I-42d (No. 122), with a = 6.1279 Å, b = 6.1279 Å, c = 5.2505 Å, α = 90.00°, β = 90.00° and γ = 90.00°. The inequivalent atoms are Ta at (0.0000, 0.0000, 0.0000), H at (0.0000, 0.0000, 0.5000) and Ru at (0.1556, 0.2500, 0.6250).

=====

Record 9
A plane-wave DFT calculation with GGA-PBE was carried out for an optimized crystal structure of TaHRu3.

The energy above the most stable polymorph in this dataset is 0.850 eV per atom. Its crystal system is orthorhombic. The total magnetization is 0.00 Bohr magnetons per cell.

It has space group Cmcm (No. 63), with a = 5.3013 Å, b = 13.2692 Å, c = 4.6833 Å, α = 90.00°, β = 90.00° and γ = 90.00°. The inequivalent atoms are Ta at (0.0000, 0.1813, 0.2500), H at (0.0000, 0.4423, 0.2500), Ru at (0.0000, 0.0000, 0.0000) and Ru at (0.2412, 0.3498, 0.2500).

=====

Record 10
A plane-wave DFT calculation with GGA-PBE was carried out for an optimized crystal structure of TaH4Ru3.

Its crystal system is cubic. The total magnetization is 0.00 Bohr magnetons per cell. As for the total energy: -53.8 eV per cell.

It has space group Pm-3m (No. 221), with a = 4.0618 Å, b = 4.0618 Å, c = 4.0618 Å, α = 90.00°, β = 90.00° and γ = 90.00°. The inequivalent atoms are Ta at (0.0000, 0.0000, 0.0000), H at (0.0000, 0.0000, 0.5000), H at (0.5000, 0.5000, 0.5000) and Ru at (0.0000, 0.5000, 0.5000).

=====

Record 11
A plane-wave DFT calculation with GGA-PBE was carried out for an optimized crystal structure of TaHRu3.

The energy above the most stable polymorph in this dataset is 2.385 eV per atom. Its crystal system is cubic. The total magnetization is 3.96 Bohr magnetons per cell.

It has space group Pm-3m (No. 221), with a = 4.7707 Å, b = 4.7707 Å, c = 4.7707 Å, α = 90.00°, β = 90.00° and γ = 90.00°. The inequivalent atoms are Ta at (0.0000, 0.0000, 0.0000), H at (0.5000, 0.5000, 0.5000) and Ru at (0.0000, 0.0000, 0.5000).

=====

Record 12
A plane-wave DFT calculation with GGA-PBE was carried out for an optimized crystal structure of TaH2Ru.

The energy above the most stable polymorph in this dataset is 0.219 eV per atom. Its crystal system is orthorhombic. The total magnetization is 0.00 Bohr magnetons per cell.

It has space group Pmmn (No. 59, origin choice 2), with a = 2.8917 Å, b = 5.1494 Å, c = 5.1461 Å, α = 90.00°, β = 90.00° and γ = 90.00°. The inequivalent atoms are Ta at (0.2500, 0.2500, 0.1262), H at (0.2500, 0.6069, 0.1068) and Ru at (0.2500, 0.7500, 0.4391).